Ho6Fe16O: optimized geometry, PBE with a Hubbard U.

Output
* total DFT energy (no corrections): -4.9551 eV per atom
* density of states at the Fermi level: 0.851 states/eV per atom
* total magnetic moment: 96.38 Bohr magnetons per cell

a b c (Å): 9.4652 9.4652 9.4652
angles (deg): 90.00 90.00 90.00
Closest atoms and distances in Å follow each position.
Space group Im-3m (No. 229)
Inequivalent atoms, fractional coordinates:
Ho 0.0000 0.0000 0.2605  1 O 2.47
Fe 0.0000 0.3526 0.3526  8 Fe 2.74-2.79, 2 Ho 3.00
Fe 0.2500 0.2500 0.2500  6 Fe 2.74
O 0.0000 0.0000 0.0000  6 Ho 2.47